DFT (PBE) results for a relaxed structure of Y2HfSnW.

Summary:
The energy of formation is 1.696 eV per atom. The value obtained for the magnetization is 0.00 μB per cell. The density of states at the Fermi level comes out at 10.4 states/eV/cell.

```
Y2HfSnW
1.0
5.3397 0.0000 0.0000
0.0000 5.2749 0.0000
0.0000 0.0000 5.3397
Hf Sn Y W
1 1 2 1
direct
0.0000 0.0000 0.0000
0.0000 0.5000 0.0000
0.5000 0.0000 0.0000
0.0000 0.0000 0.5000
0.5000 0.5000 0.5000
```

DFT (PBE) results for a relaxed structure of Y2HfSn2.

Summary:
The calculation puts the excess energy over the best structure of this formula in the dataset at 0.539 eV/atom. The energy of formation is -0.012 eV per atom. The value obtained for the magnetization is 0.00 μB per cell. The density of states at the Fermi level comes out at 3.9 states/eV/cell.

```
Y2HfSn2
1.0
-1.1723 1.4801 -3.8730
3.6521 -1.5368 -1.6927
-2.0025 -6.2120 -4.1645
Hf Y Sn
1 2 2
direct
0.0000 0.0000 0.0000
0.7500 0.2500 0.5000
0.2500 0.7500 0.5000
0.4053 0.4053 0.1894
0.5947 0.5947 0.8106
```

DFT (PBE) results for a relaxed structure of YHfSn2.

Summary:
The calculation puts the excess energy over the best structure of this formula in the dataset at 0.527 eV/atom. The energy of formation is 0.116 eV per atom. The value obtained for the magnetization is 0.00 μB per cell. The density of states at the Fermi level comes out at 11.9 states/eV/cell.

```
YHfSn2
1.0
-2.1575 2.1393 3.3868
-0.7947 -3.9989 2.0196
7.7282 -0.0716 8.0246
Sn Hf Y
4 2 2
direct
0.0962 0.6250 0.2500
0.6538 0.1250 0.2500
0.8750 0.9038 0.7500
0.3750 0.3462 0.7500
0.7500 0.2500 0.5000
0.0000 0.0000 0.0000
0.2500 0.7500 0.5000
0.5000 0.5000 0.0000
```

DFT (PBE) results for a relaxed structure of YHfSn.

Summary:
The energy of formation is -0.554 eV per atom. The value obtained for the magnetization is 0.00 μB per cell. The density of states at the Fermi level comes out at 4.6 states/eV/cell.

```
YHfSn
1.0
-4.1378 -1.3399 -0.2707
0.2011 -1.4503 4.1044
-2.5370 7.2893 2.6999
Y Sn Hf
2 2 2
direct
0.5000 0.0000 0.1617
0.0000 0.5000 0.8383
0.5000 0.0000 0.7662
0.0000 0.5000 0.2338
0.0000 0.0000 0.5000
0.5000 0.5000 0.5000
```

DFT (PBE) results for a relaxed structure of Y2HfSn.

Summary:
The calculation puts the excess energy over the best structure of this formula in the dataset at 0.308 eV/atom. The energy of formation is 0.203 eV per atom. The value obtained for the magnetization is 1.42 μB per cell. The density of states at the Fermi level comes out at 10.7 states/eV/cell.

```
Y2HfSn
1.0
-3.3778 6.0166 4.9845
4.0013 -3.3321 6.7335
2.7555 3.1686 5.3106
Hf Y Sn
2 4 2
direct
0.0000 0.0000 0.0000
0.7500 0.2500 0.5000
0.6106 0.1250 0.2500
0.8750 0.8606 0.7500
0.1394 0.6250 0.2500
0.3750 0.3894 0.7500
0.2500 0.7500 0.5000
0.5000 0.5000 0.0000
```

DFT (PBE) results for a relaxed structure of YHfSn2.

Summary:
The calculation puts the excess energy over the best structure of this formula in the dataset at 0.000 eV/atom. The energy of formation is -0.411 eV per atom. The value obtained for the magnetization is 0.55 μB per cell. The density of states at the Fermi level comes out at 2.3 states/eV/cell.

```
YHfSn2
1.0
-2.5293 -1.8192 1.1537
1.6336 -2.7797 -0.8015
3.6872 -0.1127 7.9058
Y Sn Hf
1 2 1
direct
0.5000 0.5000 0.0000
0.0000 0.0000 0.2633
0.0000 0.0000 0.7367
0.5000 0.5000 0.5000
```